DFT (PBE) results for a relaxed TaW crystal.

a = 5.4050 Å, b = 5.4050 Å, c = 5.4050 Å
α = 145.21°, β = 130.08°, γ = 62.29°
Element x y z (fractional)
Ta (0.3706, 0.1206, 0.2500)
Ta (0.6294, 0.8794, 0.7500)
W (0.1200, 0.3700, 0.7500)
W (0.8800, 0.6300, 0.2500)

D(E_F) ... 0.8460 states/eV per atom
Symmetry ... Imma (74)
E ... -12.509 eV/atom
DFT formation energy ... -0.106 eV per atom

***

DFT (PBE) results for a relaxed In6Hg2Pb3 crystal.

a = 28.3708 Å, b = 28.3708 Å, c = 28.3708 Å
α = 7.20°, β = 7.20°, γ = 7.20°
Element x y z (fractional)
In (0.0958, 0.0958, 0.0958)
In (0.1816, 0.1816, 0.1816)
In (0.3654, 0.3654, 0.3654)
In (0.6346, 0.6346, 0.6346)
In (0.8184, 0.8184, 0.8184)
In (0.9042, 0.9042, 0.9042)
Hg (0.4573, 0.4573, 0.4573)
Hg (0.5427, 0.5427, 0.5427)
Pb (0.0000, 0.0000, 0.0000)
Pb (0.2696, 0.2696, 0.2696)
Pb (0.7304, 0.7304, 0.7304)

D(E_F) ... 0.5483 states/eV per atom
Symmetry ... R-3m (166)
E ... -2.543 eV/atom
DFT formation energy ... 0.017 eV per atom

***

DFT (PBE) results for a relaxed Ac2Tb7Pr3 crystal.

a = 6.4918 Å, b = 3.6391 Å, c = 18.0355 Å
α = 90.00°, β = 96.64°, γ = 90.00°
Element x y z (fractional)
Ac (0.0522, 0.0000, 0.1747)
Ac (0.9478, 0.0000, 0.8253)
Tb (0.0000, 0.5000, 0.5000)
Tb (0.2274, 0.0000, 0.6617)
Tb (0.2583, 0.0000, 0.0011)
Tb (0.2761, 0.5000, 0.3402)
Tb (0.7239, 0.5000, 0.6598)
Tb (0.7417, 0.0000, 0.9989)
Tb (0.7726, 0.0000, 0.3383)
Pr (0.4566, 0.5000, 0.8399)
Pr (0.5000, 0.0000, 0.5000)
Pr (0.5434, 0.5000, 0.1601)

D(E_F) ... 1.5461 states/eV per atom
Symmetry ... P2/m (10)
E ... -4.474 eV/atom
DFT formation energy ... 0.107 eV per atom

***

DFT (PBE) results for a relaxed Na3Er3SnO8 crystal.

a = 6.7997 Å, b = 6.7997 Å, c = 6.7997 Å
α = 59.14°, β = 59.14°, γ = 59.14°
Element x y z (fractional)
Na (0.0000, 0.5000, 0.5000)
Na (0.5000, 0.0000, 0.5000)
Na (0.5000, 0.5000, 0.0000)
Er (0.0000, 0.0000, 0.5000)
Er (0.0000, 0.5000, 0.0000)
Er (0.5000, 0.0000, 0.0000)
Sn (0.5000, 0.5000, 0.5000)
O (0.2344, 0.2344, 0.2344)
O (0.2550, 0.7229, 0.7229)
O (0.2771, 0.2771, 0.7450)
O (0.2771, 0.7450, 0.2771)
O (0.7229, 0.2550, 0.7229)
O (0.7229, 0.7229, 0.2550)
O (0.7450, 0.2771, 0.2771)
O (0.7656, 0.7656, 0.7656)

D(E_F) ... 0.0000 states/eV per atom
Symmetry ... R-3m (166)
E ... -6.687 eV/atom
Energy relative to the elements, uncorrected ... -2600 meV per atom